Record 1
The following is a PBE-GGA calculation of a geometry-optimized Tb5PmNdDy2 structure, from Alexandria.

The structure in extended XYZ format:
```
18
Lattice="2.8194 -9.9718 0.0000 2.8194 9.9718 0.0000 0.0000 0.0000 10.6375" Properties=species:S:1:pos:R:3 pbc="T T T"
Tb 2.8194 9.6263 5.3188
Tb 2.8194 4.3554 8.3414
Tb 2.8194 4.0196 1.9368
Tb 2.8194 2.1780 5.2966
Tb 2.8194 0.4367 2.2440
Tb 2.8194 -0.4367 7.5628
Tb 2.8194 -2.1780 10.6153
Tb 2.8194 -4.0196 7.2555
Tb 2.8194 -4.3554 3.0227
Tb 2.8194 -9.6263 0.0000
Pm 2.8194 5.9555 5.1650
Pm 2.8194 -5.9555 10.4837
Nd 2.8194 1.6661 9.8414
Nd 2.8194 -1.6661 4.5226
Dy 2.8194 7.7663 2.2170
Dy 2.8194 7.6901 8.4574
Dy 2.8194 -7.6901 3.1386
Dy 2.8194 -7.7663 7.5358
```

Properties
Volume   299.1 Å³/f.u.
Crystal system   orthorhombic
Density of states at the Fermi level   28.19 states/eV/cell
Formation energy from the elements   0.154 eV per atom

Record 2
The following is a PBE-GGA calculation of a geometry-optimized BeAlOs2 structure, from Alexandria.

The structure in extended XYZ format:
```
8
Lattice="3.8007 0.0000 0.0000 0.0000 3.8007 0.0000 0.0000 0.0000 7.2773" Properties=species:S:1:pos:R:3 pbc="T T T"
Be 0.0000 0.0000 0.0000
Be 1.9004 1.9004 3.6386
Al 0.0000 1.9004 1.8193
Al 1.9004 0.0000 5.4580
Os 0.0000 0.0000 3.6386
Os 0.0000 1.9004 5.4580
Os 1.9004 0.0000 1.8193
Os 1.9004 1.9004 0.0000
```

Properties
Volume   52.6 Å³/f.u.
Crystal system   tetragonal
Density of states at the Fermi level   5.51 states/eV/cell
Formation energy from the elements   0.028 eV per atom

Record 3
The following is a PBE-GGA calculation of a geometry-optimized Pm3ErTl3Se8 structure, from Alexandria.

The structure in extended XYZ format:
```
15
Lattice="4.2495 2.4535 7.6184 -4.2495 2.4535 7.6184 0.0000 -4.9070 7.6184" Properties=species:S:1:pos:R:3 pbc="T T T"
Pm -2.1248 -1.2267 7.6184
Pm -2.1248 1.2267 15.2367
Pm 0.0000 2.4535 7.6184
Er 0.0000 0.0000 0.0000
Tl -4.2495 0.0000 11.4275
Tl -2.1248 1.2267 3.8092
Tl 2.1248 1.2267 3.8092
Se 0.0000 -2.5195 9.2102
Se -2.1819 1.2597 9.2102
Se -2.1819 -1.2597 13.6449
Se 0.0000 0.0000 5.9866
Se 0.0000 0.0000 16.8685
Se 2.1819 1.2597 9.2102
Se 2.1819 -1.2597 13.6449
Se 0.0000 2.5195 13.6449
```

Properties
Energy relative to the elements, uncorrected   -1.39 eV/atom
Volume   476.6 Å³/f.u.
Crystal system   trigonal
Density of states at the Fermi level   7.09 states/eV/cell

Record 4
The following is a PBE-GGA calculation of a geometry-optimized NbHg2Cl8 structure, from Alexandria.

The structure in extended XYZ format:
```
11
Lattice="6.4286 -3.4597 0.0000 6.4286 3.4597 0.0000 -2.5906 0.0000 9.0784" Properties=species:S:1:pos:R:3 pbc="T T T"
Nb 0.0000 0.0000 0.0000
Hg 1.1239 0.0000 3.4027
Hg 9.1427 0.0000 5.6757
Cl -1.5442 0.0000 6.7764
Cl 2.3479 1.7844 8.2633
Cl 3.0617 0.0000 4.7020
Cl 7.9186 1.7844 0.8151
Cl 2.3479 -1.7844 8.2633
Cl 7.2049 0.0000 4.3764
Cl 7.9186 -1.7844 0.8151
Cl 11.8107 0.0000 2.3021
```

Properties
Energy relative to the elements, uncorrected   -0.82 eV/atom
Volume   403.8 Å³/f.u.
Energy relative to the lowest polymorph listed for this composition   0.71 kJ per mole of atoms
Crystal system   monoclinic
Density of states at the Fermi level   1.29 states/eV/cell

Record 5
The following is a PBE-GGA calculation of a geometry-optimized CrCo2 structure, from Alexandria.

The structure in extended XYZ format:
```
3
Lattice="3.9754 0.0000 0.0000 -1.9877 3.4428 0.0000 0.0000 0.0000 2.4274" Properties=species:S:1:pos:R:3 pbc="T T T"
Cr 0.0000 0.0000 0.0000
Co 0.0000 2.2952 1.2137
Co 1.9877 1.1476 1.2137
```

Properties
Volume   33.2 Å³/f.u.
Crystal system   hexagonal
Density of states at the Fermi level   3.52 states/eV/cell
Formation energy from the elements   0.153 eV per atom

Record 6
The following is a PBE-GGA calculation of a geometry-optimized HgAs3W structure, from Alexandria.

The structure in extended XYZ format:
```
5
Lattice="4.9408 0.0000 0.0000 0.0000 4.9408 0.0000 0.0000 0.0000 4.9408" Properties=species:S:1:pos:R:3 pbc="T T T"
Hg 0.0000 0.0000 0.0000
As 0.0000 2.4704 2.4704
As 2.4704 0.0000 2.4704
As 2.4704 2.4704 0.0000
W 2.4704 2.4704 2.4704
```

Properties
Volume   120.6 Å³/f.u.
Energy relative to the lowest polymorph listed for this composition   0.00 kJ per mole of atoms
Crystal system   cubic
Density of states at the Fermi level   4.39 states/eV/cell
Formation energy from the elements   0.445 eV per atom

Record 7
The following is a PBE-GGA calculation of a geometry-optimized SiHgTe2 structure, from Alexandria.

The structure in extended XYZ format:
```
4
Lattice="4.1474 0.0000 0.0000 0.0000 4.1474 0.0000 0.0000 0.0000 6.5199" Properties=species:S:1:pos:R:3 pbc="T T T"
Si 0.0000 0.0000 0.0000
Hg 2.0737 2.0737 3.3145
Te 0.0000 0.0000 2.6263
Te 2.0737 2.0737 6.2287
```

Properties
Energy relative to the elements, uncorrected   0.10 eV/atom
Volume   112.1 Å³/f.u.
Energy relative to the lowest polymorph listed for this composition   3.64 kJ per mole of atoms
Crystal system   tetragonal
Density of states at the Fermi level   2.29 states/eV/cell